# PBE Nd12Ho5In3, relaxed
data_Nd12Ho5In3
_chemical_formula_sum 'Nd96 Ho40 In24'
_space_group_name_H-M_alt 'I a -3 d'
_space_group_IT_number 230
_space_group_name_Hall '-I 4bd 2c 3'
_cell_length_a 18.594
_cell_length_b 18.594
_cell_length_c 18.594
_cell_angle_alpha 90.00
_cell_angle_beta 90.00
_cell_angle_gamma 90.00
loop_
_atom_site_label
_atom_site_fract_x
_atom_site_fract_y
_atom_site_fract_z
Nd1 0.008 0.079 0.652
Ho1 0.000 0.000 0.000
Ho2 0.000 0.250 0.375
In1 0.000 0.250 0.125
# V = 6428.8 Å³/cell
# Raw total energy = -3.706 eV/atom
# Fermi-level density of states = 1.71 states/eV per atom